No. 1
First-principles (GGA-PBE) data for Li2MgRh3 after structural relaxation, as listed in Alexandria.

**ΔE_f**: -0.05 eV/atom
**Volume**: 179.1 Å³/cell

Lattice parameters (Å, degrees): 5.1665 5.8916 5.8916 93.06 90.00 90.00
With the nearest neighbours (Å) after each atom.
Fractional positions:
1 Li 0.7500 0.4272 0.8925  1 Li 2.59, 6 Rh 2.63-2.71, 1 Mg 2.76
2 Li 0.2500 0.5728 0.1075  1 Li 2.59, 6 Rh 2.63-2.71, 1 Mg 2.76
3 Li 0.2500 0.8925 0.4272  1 Li 2.59, 6 Rh 2.63-2.71, 1 Mg 2.76
4 Li 0.7500 0.1075 0.5728  1 Li 2.59, 6 Rh 2.63-2.71, 1 Mg 2.76
5 Mg 0.2500 0.2263 0.7737  6 Rh 2.67-2.74, 6 Li 2.76-2.91
6 Mg 0.7500 0.7737 0.2263  6 Rh 2.67-2.74, 6 Li 2.76-2.91
7 Rh 0.0000 0.1774 0.1774  4 Rh 2.58-2.88, 4 Li 2.63-2.71, 2 Mg 2.74
8 Rh 0.5000 0.8226 0.8226  4 Rh 2.58-2.88, 4 Li 2.63-2.71, 2 Mg 2.74
9 Rh 0.0000 0.5000 0.5000  4 Rh 2.58-2.62, 2 Mg 2.67, 4 Li 2.70
10 Rh 0.5000 0.5000 0.5000  4 Rh 2.58-2.62, 2 Mg 2.67, 4 Li 2.70
11 Rh 0.0000 0.8226 0.8226  4 Rh 2.58-2.88, 4 Li 2.63-2.71, 2 Mg 2.74
12 Rh 0.5000 0.1774 0.1774  4 Rh 2.58-2.88, 4 Li 2.63-2.71, 2 Mg 2.74

No. 2
First-principles (GGA-PBE) data for Li2MgRh2 after structural relaxation, as listed in Alexandria.

**ΔE_f**: -0.12 eV/atom
**Excess energy over the best structure of this formula in the dataset**: 0.067 eV/atom
**Volume**: 133.3 Å³/cell

Lattice parameters (Å, degrees): 6.4770 6.4770 3.1786 90.00 90.00 90.00
With the nearest neighbours (Å) after each atom.
Fractional positions:
1 Mg 0.0000 0.0000 0.0000  4 Li 2.58, 8 Rh 2.86
2 Mg 0.5000 0.5000 0.0000  4 Li 2.58, 8 Rh 2.86
3 Rh 0.1785 0.6785 0.5000  6 Li 2.44-2.53
4 Rh 0.6785 0.8215 0.5000  6 Li 2.44-2.53
5 Rh 0.8215 0.3215 0.5000  6 Li 2.44-2.53
6 Rh 0.3215 0.1785 0.5000  6 Li 2.44-2.53
7 Li 0.3803 0.8803 0.0000  1 Li 2.19, 2 Rh 2.44
8 Li 0.8803 0.6197 0.0000  1 Li 2.19, 2 Rh 2.44
9 Li 0.6197 0.1197 0.0000  1 Li 2.19, 2 Rh 2.44
10 Li 0.1197 0.3803 0.0000  1 Li 2.19, 2 Rh 2.44

No. 3
First-principles (GGA-PBE) data for LiMg2Rh after structural relaxation, as listed in Alexandria.

**ΔE_f**: -0.38 eV/atom
**Volume**: 64.9 Å³/cell

Lattice parameters (Å, degrees): 4.5082 4.5148 4.5147 90.22 119.95 119.95
With the nearest neighbours (Å) after each atom.
Fractional positions:
1 Mg 0.0000 0.4999 0.5001  4 Li 2.76, 4 Rh 2.76
2 Mg 0.0000 0.0001 0.9999  4 Li 2.76, 4 Rh 2.76
3 Rh 0.5000 0.2500 0.7500  8 Mg 2.76
4 Li 0.5000 0.7500 0.2500  8 Mg 2.76

No. 4
First-principles (GGA-PBE) data for LiMgRh after structural relaxation, as listed in Alexandria.

**ΔE_f**: -0.14 eV/atom
**Excess energy over the best structure of this formula in the dataset**: 0.145 eV/atom
**Volume**: 48.8 Å³/cell

Lattice parameters (Å, degrees): 2.8945 2.8945 6.7262 90.00 90.00 120.00
With the nearest neighbours (Å) after each atom.
Fractional positions:
1 Li 0.0000 0.0000 0.9677  3 Rh 2.61, 6 Li 2.89
2 Mg 0.6667 0.3333 0.3632  3 Rh 2.65, 6 Mg 2.89
3 Rh 0.3333 0.6667 0.6691  3 Li 2.61, 3 Mg 2.65, 6 Rh 2.89

No. 5
First-principles (GGA-PBE) data for Li2Mg4Rh after structural relaxation, as listed in Alexandria.

**ΔE_f**: -0.16 eV/atom
**Volume**: 134.8 Å³/cell

Lattice parameters (Å, degrees): 4.5722 4.5722 7.9025 73.18 73.18 60.00
With the nearest neighbours (Å) after each atom.
Fractional positions:
1 Li 0.7426 0.7426 0.7722  7 Mg 2.60-2.85
2 Li 0.2574 0.2574 0.2278  7 Mg 2.60-2.85
3 Mg 0.8763 0.8763 0.3711  1 Rh 2.76, 4 Li 2.85-2.99
4 Mg 0.1237 0.1237 0.6289  1 Rh 2.76, 4 Li 2.85-2.99
5 Mg 0.6260 0.6260 0.1219  4 Li 2.60-2.76, 3 Rh 2.79
6 Mg 0.3740 0.3740 0.8781  4 Li 2.60-2.76, 3 Rh 2.79
7 Rh 0.0000 0.0000 0.0000  8 Mg 2.76-2.79

No. 6
First-principles (GGA-PBE) data for LiMg2Rh after structural relaxation, as listed in Alexandria.

**ΔE_f**: -0.22 eV/atom
**Volume**: 65.0 Å³/cell

Lattice parameters (Å, degrees): 4.5133 4.5133 4.5136 59.99 59.99 59.99
With the nearest neighbours (Å) after each atom.
Fractional positions:
1 Li 0.5000 0.5000 0.4999  4 Rh 2.76, 4 Mg 2.76
2 Mg 0.0000 0.0000 0.0000  4 Rh 2.76, 4 Mg 2.76
3 Mg 0.2500 0.2500 0.2500  4 Li 2.76, 4 Mg 2.76
4 Rh 0.7500 0.7500 0.7501  4 Li 2.76, 4 Mg 2.76

No. 7
First-principles (GGA-PBE) data for LiMg5Rh after structural relaxation, as listed in Alexandria.

**ΔE_f**: -0.08 eV/atom
**Volume**: 280.2 Å³/cell

Lattice parameters (Å, degrees): 5.5177 5.5177 9.7515 103.39 103.39 90.91
With the nearest neighbours (Å) after each atom.
Fractional positions:
1 Li 0.0000 0.0000 0.0000  6 Mg 2.74-3.06
2 Li 0.0000 0.0000 0.5000  6 Mg 2.74-3.06
3 Mg 0.9949 0.6021 0.1722  2 Rh 2.80-3.09, 4 Mg 2.89-3.08, 1 Li 3.06
4 Mg 0.2474 0.5154 0.4716  4 Mg 2.73-3.04, 2 Rh 2.78-2.81, 1 Li 3.01
5 Mg 0.6021 0.9949 0.6722  2 Rh 2.80-3.09, 4 Mg 2.89-3.08, 1 Li 3.06
6 Mg 0.8415 0.1585 0.2500  1 Rh 2.71, 2 Li 2.74, 2 Mg 2.89
7 Mg 0.4846 0.7526 0.0284  4 Mg 2.73-3.04, 2 Rh 2.78-2.81, 1 Li 3.01
8 Mg 0.5154 0.2474 0.9716  4 Mg 2.73-3.04, 2 Rh 2.78-2.81, 1 Li 3.01
9 Mg 0.1585 0.8415 0.7500  1 Rh 2.71, 2 Li 2.74, 2 Mg 2.89
10 Mg 0.3979 0.0051 0.3278  2 Rh 2.80-3.09, 4 Mg 2.89-3.08, 1 Li 3.06
11 Mg 0.7526 0.4846 0.5284  4 Mg 2.73-3.04, 2 Rh 2.78-2.81, 1 Li 3.01
12 Mg 0.0051 0.3979 0.8278  2 Rh 2.80-3.09, 4 Mg 2.89-3.08, 1 Li 3.06
13 Rh 0.4976 0.5024 0.2500  7 Mg 2.71-2.81
14 Rh 0.5024 0.4976 0.7500  7 Mg 2.71-2.81

No. 8
First-principles (GGA-PBE) data for LiMgRh after structural relaxation, as listed in Alexandria.

**ΔE_f**: -0.23 eV/atom
**Excess energy over the best structure of this formula in the dataset**: 0.052 eV/atom
**Volume**: 88.2 Å³/cell

Lattice parameters (Å, degrees): 4.3064 4.3072 5.4914 90.00 90.00 119.99
With the nearest neighbours (Å) after each atom.
Fractional positions:
1 Mg 0.0000 0.0000 0.0000  2 Mg 2.75, 6 Rh 2.84, 6 Li 2.84
2 Mg 0.0000 0.0000 0.5000  2 Mg 2.75, 6 Rh 2.84, 6 Li 2.84
3 Rh 0.6665 0.3330 0.2500  5 Li 2.49-2.75
4 Rh 0.3335 0.6670 0.7500  5 Li 2.49-2.75
5 Li 0.3332 0.6665 0.2500  5 Rh 2.49-2.75
6 Li 0.6668 0.3335 0.7500  5 Rh 2.49-2.75

No. 9
First-principles (GGA-PBE) data for Li8MgRh2 after structural relaxation, as listed in Alexandria.

**ΔE_f**: -0.04 eV/atom
**Excess energy over the best structure of this formula in the dataset**: 0.000 eV/atom
**Volume**: 182.6 Å³/cell

Lattice parameters (Å, degrees): 5.0331 5.0358 7.6875 109.12 96.96 90.00
With the nearest neighbours (Å) after each atom.
Fractional positions:
1 Li 0.5307 0.3451 0.1980  2 Li 2.48-2.56, 2 Rh 2.57-2.60
2 Li 0.4693 0.1470 0.8020  2 Li 2.48-2.56, 2 Rh 2.57-2.60
3 Li 0.9144 0.7855 0.5710  2 Rh 2.52-2.66, 1 Li 2.76
4 Li 0.0856 0.2145 0.4290  2 Rh 2.52-2.66, 1 Li 2.76
5 Li 0.5307 0.8530 0.1980  2 Li 2.48-2.56, 2 Rh 2.57-2.60
6 Li 0.4693 0.6549 0.8020  2 Li 2.48-2.56, 2 Rh 2.57-2.60
7 Li 0.0390 0.6057 0.2113  1 Rh 2.58, 5 Li 2.76-2.85
8 Li 0.9610 0.3943 0.7887  1 Rh 2.58, 5 Li 2.76-2.85
9 Mg 0.0000 0.0000 0.0000  14 Li 2.94-3.17
10 Rh 0.4134 0.7443 0.4886  7 Li 2.52-2.66, 2 Rh 2.66
11 Rh 0.5866 0.2557 0.5114  7 Li 2.52-2.66, 2 Rh 2.66

No. 10
First-principles (GGA-PBE) data for Li4Mg5Rh2 after structural relaxation, as listed in Alexandria.

**ΔE_f**: -0.22 eV/atom
**Volume**: 405.1 Å³/cell

Lattice parameters (Å, degrees): 3.1030 7.4938 17.4205 90.00 90.00 90.00
With the nearest neighbours (Å) after each atom.
Fractional positions:
1 Li 0.5000 0.2967 0.5773  1 Rh 2.70, 4 Mg 2.92-2.99
2 Li 0.5000 0.7033 0.4227  1 Rh 2.70, 4 Mg 2.92-2.99
3 Li 0.5000 0.7967 0.9227  1 Rh 2.70, 4 Mg 2.92-2.99
4 Li 0.5000 0.2033 0.0773  1 Rh 2.70, 4 Mg 2.92-2.99
5 Li 0.5000 0.4210 0.8426  2 Rh 2.72-2.98, 4 Mg 2.91-3.02
6 Li 0.5000 0.5790 0.1574  2 Rh 2.72-2.98, 4 Mg 2.91-3.02
7 Li 0.5000 0.9210 0.6574  2 Rh 2.72-2.98, 4 Mg 2.91-3.02
8 Li 0.5000 0.0790 0.3426  2 Rh 2.72-2.98, 4 Mg 2.91-3.02
9 Mg 0.0000 0.5000 0.0000  8 Li 3.03-3.21, 4 Mg 3.10-3.11
10 Mg 0.0000 0.0000 0.5000  8 Li 3.03-3.21, 4 Mg 3.10-3.11
11 Mg 0.0000 0.2521 0.2222  4 Rh 2.67-2.69, 4 Li 2.91-2.99
12 Mg 0.0000 0.7479 0.7778  4 Rh 2.67-2.69, 4 Li 2.91-2.99
13 Mg 0.0000 0.7521 0.2778  4 Rh 2.67-2.69, 4 Li 2.91-2.99
14 Mg 0.0000 0.2479 0.7222  4 Rh 2.67-2.69, 4 Li 2.91-2.99
15 Mg 0.0000 0.3726 0.4215  2 Rh 2.64, 2 Li 2.92
16 Mg 0.0000 0.6274 0.5785  2 Rh 2.64, 2 Li 2.92
17 Mg 0.0000 0.8726 0.0785  2 Rh 2.64, 2 Li 2.92
18 Mg 0.0000 0.1274 0.9215  2 Rh 2.64, 2 Li 2.92
19 Rh 0.5000 0.4668 0.3058  6 Mg 2.64-2.69, 2 Li 2.70-2.72
20 Rh 0.5000 0.5332 0.6942  6 Mg 2.64-2.69, 2 Li 2.70-2.72
21 Rh 0.5000 0.9668 0.1942  6 Mg 2.64-2.69, 2 Li 2.70-2.72
22 Rh 0.5000 0.0332 0.8058  6 Mg 2.64-2.69, 2 Li 2.70-2.72